1.
DFT (PBE) results for LaPdS2O8 after structural relaxation.

Lattice parameters (Å, degrees): 5.7993 5.7993 6.2536 90.00 90.00 120.00
Space group P-3m1 (No. 164)
Unique sites:
La: 0.0000 0.0000 0.0000 x1
Pd: 0.0000 0.0000 0.5000 x1
S: 0.3333 0.6667 0.7332 x2
O: 0.1498 0.2997 0.2850 x6
O: 0.3333 0.6667 0.5025 x2

Energy: -5.158 eV/atom
D(E_F): 8.9 states/eV per cell
Energy relative to the elements, uncorrected: -0.32 eV per atom

2.
DFT (PBE) results for PmEr2Th after structural relaxation.

Lattice parameters (Å, degrees): 5.060 5.060 4.964 90.00 90.00 90.00
Space group P4/mmm (No. 123)
Unique sites:
Pm: 0.000 0.000 0.000 x1
Er: 0.000 0.500 0.500 x2
Th: 0.500 0.500 0.000 x1

Polymorph energy (0 for the lowest one): 0.025 eV/atom
Energy: -5.286 eV/atom
D(E_F): 5.0 states/eV per cell

3.
DFT (PBE) results for Nd3Dy2Cd6 after structural relaxation.

Lattice parameters (Å, degrees): 4.226 4.226 36.851 90.00 90.00 90.00
Space group I4/mmm (No. 139)
Unique sites:
Nd: 0.000 0.000 0.000 x2
Nd: 0.000 0.000 0.185 x4
Dy: 0.000 0.000 0.366 x4
Cd: 0.000 0.000 0.275 x4
Cd: 0.000 0.500 0.069 x8

Energy: -2.636 eV/atom
D(E_F): 22.7 states/eV per cell

4.
DFT (PBE) results for K3Ce2US6 after structural relaxation.

Lattice parameters (Å, degrees): 7.191 12.455 7.776 90.00 107.97 90.00
Space group C2/m (No. 12)
Unique sites:
K: 0.000 0.000 0.000 x2
K: 0.000 0.332 0.000 x4
Ce: 0.000 0.167 0.500 x4
U: 0.000 0.500 0.500 x2
S: 0.231 0.337 0.705 x8
S: 0.243 0.000 0.705 x4

Energy: -5.919 eV/atom
D(E_F): 37.1 states/eV per cell
Energy relative to the elements, uncorrected: -1.65 eV per atom

Question: What is the energy in the first record?
Answer: -5.158 eV/atom